This record from the Alexandria database describes a relaxed Sr5Sn2Bi crystal. The functional is PBE.

Results
VASP energy	-3.262	eV/atom
formation energy from the elements	-5.8	eV per formula unit

Cell lengths 10.1446, 10.1446, 10.1446 Å; angles 129.26, 129.26, 74.59 degrees
Sites, in units of the cell vectors:
Sr: 0.0000 0.0000 0.0000
Sr: 0.0255 0.5255 0.8383
Sr: 0.1872 0.0255 0.5000
Sr: 0.3128 0.8128 0.8383
Sr: 0.4745 0.3128 0.5000
Sr: 0.5000 0.5000 0.0000
Sr: 0.5255 0.6872 0.5000
Sr: 0.6872 0.1872 0.1617
Sr: 0.8128 0.9745 0.5000
Sr: 0.9745 0.4745 0.1617
Sn: 0.1232 0.3768 0.5000
Sn: 0.3768 0.8768 0.2536
Sn: 0.6232 0.1232 0.7464
Sn: 0.8768 0.6232 0.5000
Bi: 0.2500 0.2500 0.0000
Bi: 0.7500 0.7500 0.0000

This record from the Alexandria database describes a relaxed SrSnBi3 crystal. The functional is PBE.

Results
VASP energy	-3.310	eV/atom
distance to the lowest polymorph of the same formula	0.980	eV/f.u.
formation energy from the elements	0.8	eV per formula unit

Cell lengths 5.8629, 5.8629, 5.8629 Å; angles 90.00, 90.00, 90.00 degrees
Sites, in units of the cell vectors:
Sr: 0.0000 0.0000 0.0000
Sn: 0.5000 0.5000 0.5000
Bi: 0.0000 0.5000 0.5000
Bi: 0.5000 0.0000 0.5000
Bi: 0.5000 0.5000 0.0000

This record from the Alexandria database describes a relaxed Sr2SnBi2 crystal. The functional is PBE.

Results
VASP energy	-3.387	eV/atom
distance to the lowest polymorph of the same formula	1.409	eV/f.u.
formation energy from the elements	-1.8	eV per formula unit

Cell lengths 6.5717, 6.5717, 6.5717 Å; angles 119.22, 119.22, 91.35 degrees
Sites, in units of the cell vectors:
Sr: 0.2500 0.7500 0.5000
Sr: 0.7500 0.2500 0.5000
Sn: 0.0000 0.0000 0.0000
Bi: 0.3255 0.3255 0.0000
Bi: 0.6745 0.6745 0.0000

This record from the Alexandria database describes a relaxed SrSnBi3 crystal. The functional is PBE.

Results
VASP energy	-2.755	eV/atom
distance to the lowest polymorph of the same formula	3.758	eV/f.u.
formation energy from the elements	3.6	eV per formula unit

Cell lengths 6.0482, 6.0482, 6.0482 Å; angles 90.00, 90.00, 90.00 degrees
Sites, in units of the cell vectors:
Sr: 0.0000 0.0000 0.0000
Sn: 0.5000 0.5000 0.5000
Bi: 0.0000 0.0000 0.5000
Bi: 0.0000 0.5000 0.0000
Bi: 0.5000 0.0000 0.0000

This record from the Alexandria database describes a relaxed SrSnBi4 crystal. The functional is PBE.

Results
VASP energy	-3.746	eV/atom
distance to the lowest polymorph of the same formula	0.000	eV/f.u.
formation energy from the elements	-1.3	eV per formula unit

Cell lengths 9.1918, 9.1918, 6.5705 Å; angles 107.17, 107.17, 52.62 degrees
Sites, in units of the cell vectors:
Sr: 0.2010 0.2010 0.2885
Sr: 0.7990 0.7990 0.7115
Sn: 0.4335 0.4335 0.6651
Sn: 0.5665 0.5665 0.3349
Bi: 0.0779 0.6794 0.3148
Bi: 0.2037 0.7963 0.0000
Bi: 0.2967 0.2967 0.8978
Bi: 0.3206 0.9221 0.6852
Bi: 0.6794 0.0779 0.3148
Bi: 0.7033 0.7033 0.1022
Bi: 0.7963 0.2037 0.0000
Bi: 0.9221 0.3206 0.6852

This record from the Alexandria database describes a relaxed SrSn3Bi crystal. The functional is PBE.

Results
VASP energy	-3.202	eV/atom
distance to the lowest polymorph of the same formula	0.000	eV/f.u.
formation energy from the elements	1.6	eV per formula unit

Cell lengths 5.9109, 5.9109, 5.9109 Å; angles 90.00, 90.00, 90.00 degrees
Sites, in units of the cell vectors:
Sr: 0.0000 0.0000 0.0000
Sn: 0.0000 0.5000 0.5000
Sn: 0.5000 0.0000 0.5000
Sn: 0.5000 0.5000 0.0000
Bi: 0.5000 0.5000 0.5000

This record from the Alexandria database describes a relaxed Sr7Sn5Bi crystal. The functional is PBE.

Results
VASP energy	-3.199	eV/atom
formation energy from the elements	-5.9	eV per formula unit

Cell lengths 9.0798, 9.0798, 9.0798 Å; angles 134.78, 96.55, 100.46 degrees
Sites, in units of the cell vectors:
Sr: 0.0000 0.0000 0.0000
Sr: 0.3843 0.6773 0.7070
Sr: 0.4260 0.4260 0.0000
Sr: 0.4574 0.1247 0.3326
Sr: 0.7921 0.1247 0.6674
Sr: 0.8865 0.3865 0.5000
Sr: 0.9703 0.6773 0.2930
Sn: 0.1514 0.1887 0.5244
Sn: 0.1514 0.6270 0.9627
Sn: 0.3806 0.8806 0.5000
Sn: 0.6643 0.1887 0.0373
Sn: 0.6643 0.6270 0.4756
Bi: 0.7133 0.7133 0.0000

This record from the Alexandria database describes a relaxed Sr5Sn2Bi2 crystal. The functional is PBE.

Results
VASP energy	-3.440	eV/atom
formation energy from the elements	-6.8	eV per formula unit

Cell lengths 9.7578, 9.7578, 8.8049 Å; angles 90.00, 90.00, 54.17 degrees
Sites, in units of the cell vectors:
Sr: 0.0000 0.0000 0.0000
Sr: 0.0319 0.6840 0.6707
Sr: 0.1840 0.5319 0.1707
Sr: 0.3160 0.9681 0.6707
Sr: 0.4681 0.8160 0.1707
Sr: 0.5000 0.5000 0.5000
Sr: 0.5319 0.1840 0.8293
Sr: 0.6840 0.0319 0.3293
Sr: 0.8160 0.4681 0.8293
Sr: 0.9681 0.3160 0.3293
Sn: 0.1150 0.8850 0.3840
Sn: 0.3850 0.6150 0.8840
Sn: 0.6150 0.3850 0.1160
Sn: 0.8850 0.1150 0.6160
Bi: 0.2008 0.2008 0.0000
Bi: 0.2992 0.2992 0.5000
Bi: 0.7008 0.7008 0.5000
Bi: 0.7992 0.7992 0.0000

This record from the Alexandria database describes a relaxed SrSnBi crystal. The functional is PBE.

Results
VASP energy	-3.607	eV/atom
distance to the lowest polymorph of the same formula	0.308	eV/f.u.
formation energy from the elements	-1.3	eV per formula unit

Cell lengths 6.4797, 6.4797, 6.4797 Å; angles 142.27, 142.27, 54.42 degrees
Sites, in units of the cell vectors:
Sr: 0.0000 0.0000 0.0000
Sn: 0.3047 0.3047 0.0000
Bi: 0.6957 0.6957 0.0000

This record from the Alexandria database describes a relaxed SrSnBi crystal. The functional is PBE.

Results
VASP energy	-3.689	eV/atom
distance to the lowest polymorph of the same formula	0.063	eV/f.u.
formation energy from the elements	-1.5	eV per formula unit

Cell lengths 9.9430, 9.9430, 4.7142 Å; angles 90.00, 90.00, 153.03 degrees
Sites, in units of the cell vectors:
Sr: 0.1018 0.8982 0.7500
Sr: 0.8982 0.1018 0.2500
Sn: 0.2755 0.7245 0.7500
Sn: 0.7245 0.2755 0.2500
Bi: 0.4309 0.5691 0.7500
Bi: 0.5691 0.4309 0.2500

This record from the Alexandria database describes a relaxed SrSnBi3 crystal. The functional is PBE.

Results
VASP energy	-3.506	eV/atom
distance to the lowest polymorph of the same formula	0.000	eV/f.u.
formation energy from the elements	-0.2	eV per formula unit

Cell lengths 11.5623, 11.5623, 11.5623 Å; angles 147.99, 147.99, 45.90 degrees
Sites, in units of the cell vectors:
Sr: 0.2111 0.2111 0.0000
Sr: 0.7889 0.7889 0.0000
Sn: 0.2500 0.7500 0.5000
Sn: 0.5000 0.5000 0.0000
Bi: 0.3743 0.1230 0.7487
Bi: 0.3743 0.6256 0.2513
Bi: 0.3744 0.6257 0.7487
Bi: 0.6281 0.1281 0.5000
Bi: 0.8719 0.3719 0.5000
Bi: 0.8770 0.6257 0.2513

This record from the Alexandria database describes a relaxed Sr4SnBi2 crystal. The functional is PBE.

Results
VASP energy	-3.379	eV/atom
formation energy from the elements	-5.2	eV per formula unit

Cell lengths 6.8626, 6.8626, 9.6992 Å; angles 119.19, 119.19, 44.71 degrees
Sites, in units of the cell vectors:
Sr: 0.0810 0.0810 0.3823
Sr: 0.3216 0.3216 0.9357
Sr: 0.6784 0.6784 0.0643
Sr: 0.9190 0.9190 0.6177
Sn: 0.0000 0.0000 0.0000
Bi: 0.3368 0.3368 0.3261
Bi: 0.6632 0.6632 0.6739

This record from the Alexandria database describes a relaxed Sr6Sn3Bi crystal. The functional is PBE.

Results
VASP energy	-3.110	eV/atom
formation energy from the elements	-5.1	eV per formula unit

Cell lengths 8.8894, 8.4197, 14.1038 Å; angles 90.00, 127.07, 90.00 degrees
Sites, in units of the cell vectors:
Sr: 0.0567 0.0436 0.2519
Sr: 0.0567 0.4564 0.7519
Sr: 0.2519 0.6629 0.0800
Sr: 0.2519 0.8371 0.5800
Sr: 0.3942 0.1663 0.0716
Sr: 0.3942 0.3337 0.5716
Sr: 0.6058 0.6663 0.4284
Sr: 0.6058 0.8337 0.9284
Sr: 0.7481 0.1629 0.4200
Sr: 0.7481 0.3371 0.9200
Sr: 0.9433 0.5436 0.2481
Sr: 0.9433 0.9564 0.7481
Sn: 0.3021 0.1454 0.7687
Sn: 0.3021 0.3546 0.2687
Sn: 0.5000 0.0000 0.5000
Sn: 0.5000 0.5000 0.0000
Sn: 0.6979 0.6454 0.7313
Sn: 0.6979 0.8546 0.2313
Bi: 0.0000 0.0000 0.0000
Bi: 0.0000 0.5000 0.5000

This record from the Alexandria database describes a relaxed SrSn4Bi crystal. The functional is PBE.

Results
VASP energy	-3.783	eV/atom
formation energy from the elements	-1.1	eV per formula unit

Cell lengths 6.3488, 6.3488, 6.3488 Å; angles 60.00, 60.00, 60.00 degrees
Sites, in units of the cell vectors:
Sr: 0.0000 0.0000 0.0000
Sn: 0.3757 0.3757 0.3757
Sn: 0.3757 0.3757 0.8730
Sn: 0.3757 0.8730 0.3757
Sn: 0.8730 0.3757 0.3757
Bi: 0.7500 0.7500 0.7500

This record from the Alexandria database describes a relaxed Sr2SnBi2 crystal. The functional is PBE.

Results
VASP energy	-3.669	eV/atom
distance to the lowest polymorph of the same formula	0.000	eV/f.u.
formation energy from the elements	-3.2	eV per formula unit

Cell lengths 6.6641, 6.6641, 6.6641 Å; angles 139.18, 108.49, 85.76 degrees
Sites, in units of the cell vectors:
Sr: 0.2203 0.2203 0.0000
Sr: 0.7797 0.7797 0.0000
Sn: 0.5000 0.0000 0.5000
Bi: 0.2085 0.5000 0.7085
Bi: 0.7915 0.5000 0.2915

This record from the Alexandria database describes a relaxed SrSn6Bi2 crystal. The functional is PBE.

Results
VASP energy	-3.869	eV/atom
formation energy from the elements	-1.4	eV per formula unit

Cell lengths 6.7705, 6.7705, 6.6572 Å; angles 98.73, 98.73, 106.59 degrees
Sites, in units of the cell vectors:
Sr: 0.0000 0.0000 0.0000
Sn: 0.1134 0.5505 0.7964
Sn: 0.1376 0.8624 0.5000
Sn: 0.4495 0.8866 0.2036
Sn: 0.5505 0.1134 0.7964
Sn: 0.8624 0.1376 0.5000
Sn: 0.8866 0.4495 0.2036
Bi: 0.4436 0.4436 0.2625
Bi: 0.5564 0.5564 0.7375

This record from the Alexandria database describes a relaxed SrSnBi crystal. The functional is PBE.

Results
VASP energy	-3.646	eV/atom
distance to the lowest polymorph of the same formula	0.192	eV/f.u.
formation energy from the elements	-1.4	eV per formula unit

Cell lengths 5.2814, 5.2814, 4.4274 Å; angles 90.00, 90.00, 120.00 degrees
Sites, in units of the cell vectors:
Sr: 0.0000 0.0000 0.0000
Sn: 0.3333 0.6667 0.5000
Bi: 0.6667 0.3333 0.5000

This record from the Alexandria database describes a relaxed Sr3Sn2Bi4 crystal. The functional is PBE.

Results
VASP energy	-3.681	eV/atom
distance to the lowest polymorph of the same formula	0.000	eV/f.u.
formation energy from the elements	-4.6	eV per formula unit

Cell lengths 8.7987, 8.7987, 9.3543 Å; angles 104.60, 104.60, 77.48 degrees
Sites, in units of the cell vectors:
Sr: 0.0736 0.9264 0.7500
Sr: 0.1842 0.4808 0.3803
Sr: 0.4808 0.1842 0.8803
Sr: 0.5192 0.8158 0.1197
Sr: 0.8158 0.5192 0.6197
Sr: 0.9264 0.0736 0.2500
Sn: 0.0684 0.6523 0.0425
Sn: 0.3477 0.9316 0.4575
Sn: 0.6523 0.0684 0.5425
Sn: 0.9316 0.3477 0.9575
Bi: 0.1289 0.2138 0.5960
Bi: 0.2138 0.1289 0.0960
Bi: 0.2586 0.5316 0.7888
Bi: 0.4684 0.7414 0.7112
Bi: 0.5316 0.2586 0.2888
Bi: 0.7414 0.4684 0.2112
Bi: 0.7862 0.8711 0.9040
Bi: 0.8711 0.7862 0.4040

This record from the Alexandria database describes a relaxed Sr2SnBi2 crystal. The functional is PBE.

Results
VASP energy	-3.400	eV/atom
distance to the lowest polymorph of the same formula	1.341	eV/f.u.
formation energy from the elements	-1.9	eV per formula unit

Cell lengths 9.3332, 9.3332, 4.0998 Å; angles 90.00, 90.00, 90.00 degrees
Sites, in units of the cell vectors:
Sr: 0.1344 0.3656 0.0000
Sr: 0.3656 0.8656 0.0000
Sr: 0.6344 0.1344 0.0000
Sr: 0.8656 0.6344 0.0000
Sn: 0.0000 0.0000 0.0000
Sn: 0.5000 0.5000 0.0000
Bi: 0.1716 0.6716 0.5000
Bi: 0.3284 0.1716 0.5000
Bi: 0.6716 0.8284 0.5000
Bi: 0.8284 0.3284 0.5000

This record from the Alexandria database describes a relaxed Sr2SnBi2 crystal. The functional is PBE.

Results
VASP energy	-3.500	eV/atom
distance to the lowest polymorph of the same formula	0.841	eV/f.u.
formation energy from the elements	-2.4	eV per formula unit

Cell lengths 8.3594, 8.3594, 9.9768 Å; angles 125.18, 125.18, 47.41 degrees
Sites, in units of the cell vectors:
Sr: 0.0990 0.0990 0.3675
Sr: 0.3370 0.3370 0.9888
Sr: 0.6630 0.6630 0.0112
Sr: 0.9010 0.9010 0.6325
Sn: 0.3786 0.3786 0.4003
Sn: 0.6214 0.6214 0.5997
Bi: 0.1369 0.1369 0.0644
Bi: 0.3778 0.3778 0.6915
Bi: 0.6222 0.6222 0.3085
Bi: 0.8631 0.8631 0.9356

This record from the Alexandria database describes a relaxed Sr2SnBi2 crystal. The functional is PBE.

Results
VASP energy	-3.638	eV/atom
distance to the lowest polymorph of the same formula	0.153	eV/f.u.
formation energy from the elements	-3.1	eV per formula unit

Cell lengths 8.5518, 8.5518, 4.8371 Å; angles 90.00, 90.00, 90.00 degrees
Sites, in units of the cell vectors:
Sr: 0.1731 0.3269 0.0000
Sr: 0.3269 0.8269 0.0000
Sr: 0.6731 0.1731 0.0000
Sr: 0.8269 0.6731 0.0000
Sn: 0.0000 0.0000 0.5000
Sn: 0.5000 0.5000 0.5000
Bi: 0.1315 0.6315 0.5000
Bi: 0.3685 0.1315 0.5000
Bi: 0.6315 0.8685 0.5000
Bi: 0.8685 0.3685 0.5000

This record from the Alexandria database describes a relaxed Sr2Sn3Bi3 crystal. The functional is PBE.

Results
VASP energy	-3.732	eV/atom
formation energy from the elements	-2.8	eV per formula unit

Cell lengths 8.4593, 8.4593, 4.3423 Å; angles 90.00, 90.00, 120.00 degrees
Sites, in units of the cell vectors:
Sr: 0.3333 0.6667 0.0000
Sr: 0.6667 0.3333 0.0000
Sn: 0.0000 0.7903 0.0000
Sn: 0.2097 0.2097 0.0000
Sn: 0.7903 0.0000 0.0000
Bi: 0.0000 0.3347 0.5000
Bi: 0.3347 0.0000 0.5000
Bi: 0.6653 0.6653 0.5000

This record from the Alexandria database describes a relaxed Sr4SnBi crystal. The functional is PBE.

Results
VASP energy	-3.091	eV/atom
formation energy from the elements	-3.9	eV per formula unit

Cell lengths 5.6638, 5.6638, 8.0048 Å; angles 90.00, 90.00, 90.00 degrees
Sites, in units of the cell vectors:
Sr: 0.0000 0.5000 0.2423
Sr: 0.0000 0.5000 0.7577
Sr: 0.5000 0.0000 0.2423
Sr: 0.5000 0.0000 0.7577
Sn: 0.0000 0.0000 0.0000
Bi: 0.5000 0.5000 0.5000

D(E_F) for every record listed, in sequence, given in states/eV per atom: 0.196; 1.206; 0.844; 0.944; 0.523; 0.681; 0.587; 1.019; 0.720; 0.299; 0.589; 0.115; 0.479; 0.658; 0.488; 0.340; 0.584; 0.188; 0.577; 0.463; 0.663; 0.352; 0.608.
Theoretical density for every record listed, in sequence, given in kg/m³: 4817; 6866; 5824; 6254; 8310; 5248; 4797; 5343; 6817; 6526; 6393; 5395; 4301; 7079; 6688; 7149; 6448; 6633; 6620; 5927; 6683; 7147; 4385.